{
  "formula": "TlIn3Te8Pb2",
  "functional": "PBE",
  "state": "optimized geometry",
  "lattice_angstrom": [[4.488, 2.591, 7.665], [-4.488, 2.591, 7.665], [0.000, -5.182, 7.665]],
  "species": ["Tl", "In", "In", "In", "Te", "Te", "Te", "Te", "Te", "Te", "Te", "Te", "Pb", "Pb"],
  "frac_coords": [[0.000, 0.000, 0.000], [0.121, 0.623, 0.623], [0.623, 0.121, 0.623], [0.623, 0.623, 0.121], [0.372, 0.372, 0.838], [0.372, 0.838, 0.372], [0.388, 0.388, 0.388], [0.409, 0.868, 0.868], [0.838, 0.372, 0.372], [0.861, 0.861, 0.861], [0.868, 0.409, 0.868], [0.868, 0.868, 0.409], [0.248, 0.248, 0.248], [0.620, 0.620, 0.620]],
  "e_form_raw_ev_per_atom": -0.200,
  "sg": "R3m (160)",
  "magnetic_moment_mub_per_cell": 0.00,
  "crystal_system": "trigonal",
  "energy_ev_per_atom": -3.280
}